Record 1
VASP calculation (meta-GGA SCAN) on a PBEsol-optimized structure of Mg2ScRu. Values from VASP.

Quantum ESPRESSO input file:
```
&SYSTEM
  ibrav = 0, nat = 4, ntyp = 3
/
ATOMIC_SPECIES
Ru 101.07 Ru.upf
Sc 44.96 Sc.upf
Mg 24.30 Mg.upf
CELL_PARAMETERS angstrom
2.959 0.000 0.000
1.480 2.563 0.000
1.480 0.854 9.728
ATOMIC_POSITIONS crystal
Ru 0.500 0.500 0.500
Sc 0.000 0.000 0.000
Mg 0.238 0.238 0.285
Mg 0.762 0.762 0.715
```

Summary:
SG: R-3m, No. 166
Formation enthalpy at 0 K (eV per atom): 0.159
Volume (Å³ per atom): 18.44
DOS at the Fermi energy (states/eV/f.u.): 3.9
Magnetic moment (μB per formula unit): 0.557

Record 2
VASP calculation (meta-GGA SCAN) on a PBEsol-optimized structure of Mg2ScRu. Values from VASP.

Quantum ESPRESSO input file:
```
&SYSTEM
  ibrav = 0, nat = 4, ntyp = 3
/
ATOMIC_SPECIES
Mg 24.30 Mg.upf
Sc 44.96 Sc.upf
Ru 101.07 Ru.upf
CELL_PARAMETERS angstrom
-2.611 -1.644 1.255
2.388 -3.745 0.062
1.625 3.735 3.851
ATOMIC_POSITIONS crystal
Mg 0.779 0.779 0.558
Mg 0.221 0.221 0.442
Sc 0.000 0.500 0.000
Ru 0.500 0.000 0.000
```

Summary:
SG: Immm, No. 71
Formation enthalpy at 0 K (eV per atom): -0.257
Volume (Å³ per atom): 18.01
DOS at the Fermi energy (states/eV/f.u.): 1.3
Magnetic moment (μB per formula unit): 0.007

Record 3
VASP calculation (meta-GGA SCAN) on a PBEsol-optimized structure of MgScRu2. Values from VASP.

Quantum ESPRESSO input file:
```
&SYSTEM
  ibrav = 0, nat = 4, ntyp = 3
/
ATOMIC_SPECIES
Ru 101.07 Ru.upf
Sc 44.96 Sc.upf
Mg 24.30 Mg.upf
CELL_PARAMETERS angstrom
3.129 0.000 0.000
0.000 4.739 0.000
-1.564 -2.369 4.191
ATOMIC_POSITIONS crystal
Ru 0.245 0.245 0.491
Ru 0.755 0.755 0.509
Sc 0.500 0.000 0.000
Mg 0.000 0.500 0.000
```

Summary:
SG: Immm, No. 71
Formation enthalpy at 0 K (eV per atom): -0.102
Volume (Å³ per atom): 15.53
DOS at the Fermi energy (states/eV/f.u.): 2.6
Magnetic moment (μB per formula unit): 0.000

Record 4
VASP calculation (meta-GGA SCAN) on a PBEsol-optimized structure of Mg2ScSnRu. Values from VASP.

Quantum ESPRESSO input file:
```
&SYSTEM
  ibrav = 0, nat = 5, ntyp = 4
/
ATOMIC_SPECIES
Sn 118.71 Sn.upf
Mg 24.30 Mg.upf
Sc 44.96 Sc.upf
Ru 101.07 Ru.upf
CELL_PARAMETERS angstrom
4.772 0.000 0.000
0.000 4.963 0.000
0.000 0.000 4.963
ATOMIC_POSITIONS crystal
Sn 0.500 0.500 0.500
Mg 0.000 0.500 0.000
Mg 0.000 0.000 0.500
Sc 0.500 0.000 0.000
Ru 0.000 0.000 0.000
```

Summary:
SG: P4/mmm, No. 123
Formation enthalpy at 0 K (eV per atom): 0.036
Volume (Å³ per atom): 23.51
DOS at the Fermi energy (states/eV/f.u.): 3.0
Magnetic moment (μB per formula unit): 0.000

Record 5
VASP calculation (meta-GGA SCAN) on a PBEsol-optimized structure of MgRuSe2. Values from VASP.

Quantum ESPRESSO input file:
```
&SYSTEM
  ibrav = 0, nat = 4, ntyp = 3
/
ATOMIC_SPECIES
Se 78.96 Se.upf
Mg 24.30 Mg.upf
Ru 101.07 Ru.upf
CELL_PARAMETERS angstrom
3.015 0.000 0.000
0.000 3.015 0.000
0.000 0.000 8.108
ATOMIC_POSITIONS crystal
Se 0.500 0.500 0.290
Se 0.000 0.000 0.921
Mg 0.000 0.000 0.521
Ru 0.500 0.500 0.768
```

Summary:
SG: P4mm, No. 99
Volume (Å³ per atom): 18.42
DOS at the Fermi energy (states/eV/f.u.): 1.4
E_form (uncorrected) (eV per atom): -0.312
Magnetic moment (μB per formula unit): 0.000

Record 6
VASP calculation (meta-GGA SCAN) on a PBEsol-optimized structure of MgRuSe2. Values from VASP.

Quantum ESPRESSO input file:
```
&SYSTEM
  ibrav = 0, nat = 4, ntyp = 3
/
ATOMIC_SPECIES
Mg 24.30 Mg.upf
Se 78.96 Se.upf
Ru 101.07 Ru.upf
CELL_PARAMETERS angstrom
-0.152 -3.621 -1.087
3.132 -1.745 -1.210
2.165 -3.481 4.707
ATOMIC_POSITIONS crystal
Mg 0.000 0.000 0.000
Se 0.238 0.238 0.285
Se 0.762 0.762 0.715
Ru 0.500 0.500 0.500
```

Summary:
SG: R-3m, No. 166
Volume (Å³ per atom): 18.12
DOS at the Fermi energy (states/eV/f.u.): 0.4
E_form (uncorrected) (eV per atom): -0.538
Magnetic moment (μB per formula unit): 0.000

Record 7
VASP calculation (meta-GGA SCAN) on a PBEsol-optimized structure of Mg2SiRu2. Values from VASP.

Quantum ESPRESSO input file:
```
&SYSTEM
  ibrav = 0, nat = 10, ntyp = 3
/
ATOMIC_SPECIES
Ru 101.07 Ru.upf
Mg 24.30 Mg.upf
Si 28.09 Si.upf
CELL_PARAMETERS angstrom
-3.175 0.128 2.865
0.787 -5.937 1.138
4.010 1.371 4.383
ATOMIC_POSITIONS crystal
Ru 0.000 0.356 0.856
Ru 0.000 0.144 0.356
Ru 0.000 0.856 0.644
Ru 0.000 0.644 0.144
Mg 0.500 0.166 0.666
Mg 0.500 0.834 0.334
Mg 0.500 0.666 0.834
Mg 0.500 0.334 0.166
Si 0.000 0.500 0.500
Si 0.000 0.000 0.000
```

Summary:
SG: P4/mbm, No. 127
Volume (Å³ per atom): 15.90
DOS at the Fermi energy (states/eV/f.u.): 4.6
E_form (uncorrected) (eV per atom): -0.402
Magnetic moment (μB per formula unit): 0.001

Record 8
VASP calculation (meta-GGA SCAN) on a PBEsol-optimized structure of Mg2SiRu. Values from VASP.

Quantum ESPRESSO input file:
```
&SYSTEM
  ibrav = 0, nat = 4, ntyp = 3
/
ATOMIC_SPECIES
Mg 24.30 Mg.upf
Si 28.09 Si.upf
Ru 101.07 Ru.upf
CELL_PARAMETERS angstrom
-1.546 -0.933 -2.491
2.625 -1.000 -1.255
-0.974 -6.258 2.948
ATOMIC_POSITIONS crystal
Mg 0.000 0.000 0.958
Mg 0.500 0.500 0.293
Si 0.500 0.500 0.700
Ru 0.000 0.000 0.549
```

Summary:
SG: P4mm, No. 99
Volume (Å³ per atom): 16.53
DOS at the Fermi energy (states/eV/f.u.): 0.9
E_form (uncorrected) (eV per atom): -0.361
Magnetic moment (μB per formula unit): 0.029

Record 9
VASP calculation (meta-GGA SCAN) on a PBEsol-optimized structure of MgSiRu3. Values from VASP.

Quantum ESPRESSO input file:
```
&SYSTEM
  ibrav = 0, nat = 5, ntyp = 3
/
ATOMIC_SPECIES
Ru 101.07 Ru.upf
Si 28.09 Si.upf
Mg 24.30 Mg.upf
CELL_PARAMETERS angstrom
4.353 0.000 0.000
0.000 4.353 0.000
0.000 0.000 4.353
ATOMIC_POSITIONS crystal
Ru 0.000 0.500 0.000
Ru 0.500 0.000 0.000
Ru 0.000 0.000 0.500
Si 0.500 0.500 0.500
Mg 0.000 0.000 0.000
```

Summary:
SG: Pm-3m, No. 221
Volume (Å³ per atom): 16.50
DOS at the Fermi energy (states/eV/f.u.): 3.0
E_form (uncorrected) (eV per atom): 1.789
Magnetic moment (μB per formula unit): 2.126

Record 10
VASP calculation (meta-GGA SCAN) on a PBEsol-optimized structure of MgSn4Ru. Values from VASP.

Quantum ESPRESSO input file:
```
&SYSTEM
  ibrav = 0, nat = 12, ntyp = 3
/
ATOMIC_SPECIES
Sn 118.71 Sn.upf
Ru 101.07 Ru.upf
Mg 24.30 Mg.upf
CELL_PARAMETERS angstrom
-6.553 -1.049 -1.158
2.189 0.191 7.038
-1.510 5.526 3.544
ATOMIC_POSITIONS crystal
Sn 0.015 0.720 0.485
Sn 0.795 0.280 0.015
Sn 0.485 0.280 0.705
Sn 0.705 0.720 0.795
Sn 0.985 0.280 0.515
Sn 0.515 0.720 0.295
Sn 0.295 0.280 0.205
Sn 0.205 0.720 0.985
Ru 0.750 0.500 0.250
Ru 0.250 0.500 0.750
Mg 0.000 0.000 0.000
Mg 0.500 0.000 0.500
```

Summary:
SG: I4/mcm, No. 140
Formation enthalpy at 0 K (eV per atom): -0.211
Volume (Å³ per atom): 21.28
DOS at the Fermi energy (states/eV/f.u.): 1.1
Magnetic moment (μB per formula unit): 0.000

Record 11
VASP calculation (meta-GGA SCAN) on a PBEsol-optimized structure of MgSn2Ru2. Values from VASP.

Quantum ESPRESSO input file:
```
&SYSTEM
  ibrav = 0, nat = 10, ntyp = 3
/
ATOMIC_SPECIES
Ru 101.07 Ru.upf
Sn 118.71 Sn.upf
Mg 24.30 Mg.upf
CELL_PARAMETERS angstrom
-0.021 -0.727 3.097
-0.945 -7.185 -1.692
7.381 -0.931 -0.168
ATOMIC_POSITIONS crystal
Ru 0.000 0.357 0.857
Ru 0.000 0.143 0.357
Ru 0.000 0.857 0.643
Ru 0.000 0.643 0.143
Sn 0.500 0.654 0.846
Sn 0.500 0.154 0.654
Sn 0.500 0.846 0.346
Sn 0.500 0.346 0.154
Mg 0.000 0.000 0.000
Mg 0.000 0.500 0.500
```

Summary:
SG: P4/mbm, No. 127
Formation enthalpy at 0 K (eV per atom): -0.155
Volume (Å³ per atom): 17.62
DOS at the Fermi energy (states/eV/f.u.): 1.9
Magnetic moment (μB per formula unit): 0.000

Record 12
VASP calculation (meta-GGA SCAN) on a PBEsol-optimized structure of Sr2MgRu. Values from VASP.

Quantum ESPRESSO input file:
```
&SYSTEM
  ibrav = 0, nat = 4, ntyp = 3
/
ATOMIC_SPECIES
Mg 24.30 Mg.upf
Ru 101.07 Ru.upf
Sr 87.62 Sr.upf
CELL_PARAMETERS angstrom
3.612 0.000 0.000
1.806 3.128 0.000
1.806 1.043 10.348
ATOMIC_POSITIONS crystal
Mg 0.500 0.500 0.500
Ru 0.000 0.000 0.000
Sr 0.733 0.733 0.802
Sr 0.267 0.267 0.198
```

Summary:
SG: R-3m, No. 166
Formation enthalpy at 0 K (eV per atom): 0.540
Volume (Å³ per atom): 29.23
DOS at the Fermi energy (states/eV/f.u.): 3.0
Magnetic moment (μB per formula unit): 0.000

Record 13
VASP calculation (meta-GGA SCAN) on a PBEsol-optimized structure of MgTa2Ru. Values from VASP.

Quantum ESPRESSO input file:
```
&SYSTEM
  ibrav = 0, nat = 4, ntyp = 3
/
ATOMIC_SPECIES
Mg 24.30 Mg.upf
Ta 180.95 Ta.upf
Ru 101.07 Ru.upf
CELL_PARAMETERS angstrom
2.931 0.000 0.000
0.000 4.895 0.012
0.000 -1.720 4.583
ATOMIC_POSITIONS crystal
Mg 0.500 0.000 0.000
Ta 0.000 0.000 0.500
Ta 0.000 0.500 0.000
Ru 0.500 0.500 0.500
```

Summary:
SG: Cmmm, No. 65
Formation enthalpy at 0 K (eV per atom): 0.126
Volume (Å³ per atom): 16.45
DOS at the Fermi energy (states/eV/f.u.): 3.0
Magnetic moment (μB per formula unit): 0.000

Record 14
VASP calculation (meta-GGA SCAN) on a PBEsol-optimized structure of MgTa2Ru. Values from VASP.

Quantum ESPRESSO input file:
```
&SYSTEM
  ibrav = 0, nat = 4, ntyp = 3
/
ATOMIC_SPECIES
Ru 101.07 Ru.upf
Ta 180.95 Ta.upf
Mg 24.30 Mg.upf
CELL_PARAMETERS angstrom
4.525 0.000 0.000
2.262 3.919 0.000
2.262 1.306 3.695
ATOMIC_POSITIONS crystal
Ru 0.250 0.250 0.250
Ta 0.750 0.750 0.750
Ta 0.000 0.000 0.000
Mg 0.500 0.500 0.500
```

Summary:
SG: F-43m, No. 216
Formation enthalpy at 0 K (eV per atom): 0.139
Volume (Å³ per atom): 16.38
DOS at the Fermi energy (states/eV/f.u.): 5.6
Magnetic moment (μB per formula unit): 0.013

Record 15
VASP calculation (meta-GGA SCAN) on a PBEsol-optimized structure of MgTa2Ru. Values from VASP.

Quantum ESPRESSO input file:
```
&SYSTEM
  ibrav = 0, nat = 4, ntyp = 3
/
ATOMIC_SPECIES
Ta 180.95 Ta.upf
Ru 101.07 Ru.upf
Mg 24.30 Mg.upf
CELL_PARAMETERS angstrom
-0.577 -1.212 -2.504
2.716 0.816 0.173
2.210 -8.077 3.400
ATOMIC_POSITIONS crystal
Ta 0.500 0.500 0.763
Ta 0.000 0.000 0.017
Ru 0.500 0.500 0.239
Mg 0.000 0.000 0.481
```

Summary:
SG: Cmm2, No. 35
Formation enthalpy at 0 K (eV per atom): 0.021
Volume (Å³ per atom): 16.94
DOS at the Fermi energy (states/eV/f.u.): 3.2
Magnetic moment (μB per formula unit): 0.000

Record 16
VASP calculation (meta-GGA SCAN) on a PBEsol-optimized structure of MgTa2Ru. Values from VASP.

Quantum ESPRESSO input file:
```
&SYSTEM
  ibrav = 0, nat = 4, ntyp = 3
/
ATOMIC_SPECIES
Ta 180.95 Ta.upf
Ru 101.07 Ru.upf
Mg 24.30 Mg.upf
CELL_PARAMETERS angstrom
3.101 0.000 0.000
0.000 4.641 -0.039
-1.550 -2.285 4.621
ATOMIC_POSITIONS crystal
Ta 0.741 0.241 0.481
Ta 0.983 0.983 0.966
Ru 0.259 0.759 0.517
Mg 0.518 0.517 0.035
```

Summary:
SG: Imm2, No. 44
Formation enthalpy at 0 K (eV per atom): -0.027
Volume (Å³ per atom): 16.56
DOS at the Fermi energy (states/eV/f.u.): 2.4
Magnetic moment (μB per formula unit): 0.000

Record 17
VASP calculation (meta-GGA SCAN) on a PBEsol-optimized structure of Tb4MgRu. Values from VASP.

Quantum ESPRESSO input file:
```
&SYSTEM
  ibrav = 0, nat = 24, ntyp = 3
/
ATOMIC_SPECIES
Tb 158.93 Tb.upf
Ru 101.07 Ru.upf
Mg 24.30 Mg.upf
CELL_PARAMETERS angstrom
-1.366 -1.203 -9.398
0.509 -8.759 -3.829
-7.940 -4.307 -3.170
ATOMIC_POSITIONS crystal
Tb 0.061 0.061 0.439
Tb 0.061 0.439 0.061
Tb 0.813 0.187 0.187
Tb 0.813 0.187 0.813
Tb 0.031 0.656 0.656
Tb 0.439 0.061 0.439
Tb 0.656 0.031 0.656
Tb 0.813 0.813 0.187
Tb 0.061 0.439 0.439
Tb 0.656 0.656 0.656
Tb 0.187 0.187 0.813
Tb 0.439 0.061 0.061
Tb 0.187 0.813 0.813
Tb 0.439 0.439 0.061
Tb 0.187 0.813 0.187
Tb 0.656 0.656 0.031
Ru 0.861 0.861 0.416
Ru 0.861 0.861 0.861
Ru 0.416 0.861 0.861
Ru 0.861 0.416 0.861
Mg 0.421 0.738 0.421
Mg 0.738 0.421 0.421
Mg 0.421 0.421 0.738
Mg 0.421 0.421 0.421
```

Summary:
SG: F-43m, No. 216
Formation enthalpy at 0 K (eV per atom): -0.285
Volume (Å³ per atom): 25.85
DOS at the Fermi energy (states/eV/f.u.): 6.3
Magnetic moment (μB per formula unit): 0.200

Record 18
VASP calculation (meta-GGA SCAN) on a PBEsol-optimized structure of MgTcRu. Values from VASP.

Quantum ESPRESSO input file:
```
&SYSTEM
  ibrav = 0, nat = 3, ntyp = 3
/
ATOMIC_SPECIES
Ru 101.07 Ru.upf
Tc 98.00 Tc.upf
Mg 24.30 Mg.upf
CELL_PARAMETERS angstrom
-0.605 -0.873 -4.011
-3.681 -1.422 -1.281
-2.471 2.414 -2.298
ATOMIC_POSITIONS crystal
Ru 0.500 0.500 0.500
Tc 0.250 0.250 0.250
Mg 0.000 0.000 0.000
```

Summary:
SG: F-43m, No. 216
Formation enthalpy at 0 K (eV per atom): 0.491
Volume (Å³ per atom): 16.83
DOS at the Fermi energy (states/eV/f.u.): 3.4
Offset from the most stable computed form (meV/atom): 255
Magnetic moment (μB per formula unit): 0.000

Record 19
VASP calculation (meta-GGA SCAN) on a PBEsol-optimized structure of MgTcRu. Values from VASP.

Quantum ESPRESSO input file:
```
&SYSTEM
  ibrav = 0, nat = 3, ntyp = 3
/
ATOMIC_SPECIES
Mg 24.30 Mg.upf
Tc 98.00 Tc.upf
Ru 101.07 Ru.upf
CELL_PARAMETERS angstrom
-2.219 -1.450 -0.507
2.314 -1.288 -0.520
0.054 -0.990 6.812
ATOMIC_POSITIONS crystal
Mg 0.998 0.998 0.996
Tc 0.674 0.674 0.349
Ru 0.328 0.328 0.655
```

Summary:
SG: Fmm2, No. 42
Formation enthalpy at 0 K (eV per atom): 0.236
Volume (Å³ per atom): 14.88
DOS at the Fermi energy (states/eV/f.u.): 2.3
Offset from the most stable computed form (meV/atom): 0
Magnetic moment (μB per formula unit): 0.000

Record 20
VASP calculation (meta-GGA SCAN) on a PBEsol-optimized structure of MgTc2Ru. Values from VASP.

Quantum ESPRESSO input file:
```
&SYSTEM
  ibrav = 0, nat = 4, ntyp = 3
/
ATOMIC_SPECIES
Ru 101.07 Ru.upf
Mg 24.30 Mg.upf
Tc 98.00 Tc.upf
CELL_PARAMETERS angstrom
-2.215 0.685 -1.298
-0.365 -1.901 1.820
-1.713 6.320 6.260
ATOMIC_POSITIONS crystal
Ru 0.500 0.500 0.000
Mg 0.500 0.500 0.500
Tc 0.000 0.000 0.760
Tc 0.000 0.000 0.240
```

Summary:
SG: Cmmm, No. 65
Formation enthalpy at 0 K (eV per atom): 0.305
Volume (Å³ per atom): 14.62
DOS at the Fermi energy (states/eV/f.u.): 3.8
Magnetic moment (μB per formula unit): 0.000